CrNiIr2 | SCAN | single point on PBEsol structure

Values from the calculation:
formation energy from the elements: -0.071 eV/atom
Fermi-level density of states: 4.5 states/eV/f.u.
space group: Cm (8)
energy: -177.04 eV per cell

a b c (Å): 4.545 4.545 4.444
angles (deg): 99.77 99.77 33.74
Fractional positions:
Cr: 0.000 0.000 0.000
Ni: 0.750 0.750 0.250
Ir: 0.251 0.251 0.761
Ir: 0.501 0.501 0.490

***

ZrTa3Sb | SCAN | single point on PBEsol structure

Values from the calculation:
Fermi-level density of states: 4.9 states/eV/f.u.
uncorrected formation energy: 1.517 eV/atom
space group: Pm-3m (221)
energy: -260.12 eV per cell

a b c (Å): 4.940 4.940 4.940
angles (deg): 90.00 90.00 90.00
Fractional positions:
Zr: 0.000 0.000 0.000
Ta: 0.000 0.500 0.500
Ta: 0.500 0.000 0.500
Ta: 0.500 0.500 0.000
Sb: 0.500 0.500 0.500

***

NiHgSe2 | SCAN | single point on PBEsol structure

Values from the calculation:
Fermi-level density of states: 1.1 states/eV/f.u.
uncorrected formation energy: -0.186 eV/atom
space group: P2/m (10)
energy: -125.24 eV per cell

a b c (Å): 4.694 3.468 5.316
angles (deg): 90.00 112.14 90.00
Fractional positions:
Ni: 0.000 0.000 0.000
Hg: 0.000 0.000 0.500
Se: 0.354 0.500 0.154
Se: 0.646 0.500 0.846

***

LaBe2Sn | SCAN | single point on PBEsol structure

Values from the calculation:
formation energy from the elements: -0.004 eV/atom
Fermi-level density of states: 1.6 states/eV/f.u.
space group: I4_1/amd (141)
energy: -175.50 eV per cell

a b c (Å): 8.930 8.930 8.930
angles (deg): 150.30 150.30 42.50
Fractional positions:
La: 0.375 0.625 0.750
La: 0.625 0.375 0.250
Be: 0.000 0.000 0.000
Be: 0.000 0.000 0.500
Be: 0.000 0.500 0.000
Be: 0.500 0.000 0.500
Sn: 0.125 0.875 0.250
Sn: 0.875 0.125 0.750